[1]
{
  "formula": "Np3As2N2",
  "functional": "GGA-PBE",
  "state": "optimized geometry",
  "m_tot_mub_per_fu": 3.65,
  "raw_formation_energy_ev_per_atom": -0.91,
  "volume_a3_per_atom": 18.645,
  "cell": [[7.413, -1.907, 0.000], [7.413, 1.907, 0.000], [-6.248, 0.000, 9.234]],
  "species": ["Np", "Np", "Np", "Np", "Np", "Np", "As", "As", "As", "As", "N", "N", "N", "N"],
  "fractional_positions": [[0.071, 0.071, 0.148], [0.139, 0.139, 0.783], [0.400, 0.400, 0.540], [0.600, 0.600, 0.460], [0.861, 0.861, 0.217], [0.929, 0.929, 0.852], [0.267, 0.267, 0.657], [0.380, 0.380, 0.021], [0.620, 0.620, 0.979], [0.733, 0.733, 0.343], [0.040, 0.040, 0.316], [0.418, 0.418, 0.352], [0.582, 0.582, 0.648], [0.960, 0.960, 0.684]]
}

[2]
{
  "formula": "Na2BeAs2Pd",
  "functional": "GGA-PBE",
  "state": "optimized geometry",
  "m_tot_mub_per_fu": 0.00,
  "e_tot_ev_per_atom": -3.84,
  "volume_a3_per_atom": 19.224,
  "cell": [[-2.923, 6.896, 2.862], [2.923, -6.896, 2.862], [2.923, 6.896, -2.862]],
  "species": ["Na", "Na", "Na", "Na", "Be", "Be", "As", "As", "As", "As", "Pd", "Pd"],
  "fractional_positions": [[0.174, 0.226, 0.400], [0.326, 0.726, 0.052], [0.674, 0.274, 0.948], [0.826, 0.774, 0.600], [0.250, 0.750, 0.500], [0.750, 0.250, 0.500], [0.099, 0.718, 0.817], [0.401, 0.218, 0.619], [0.599, 0.782, 0.381], [0.901, 0.282, 0.183], [0.250, 0.250, 0.000], [0.750, 0.750, 0.000]]
}

[3]
{
  "formula": "Nb2AlB",
  "functional": "GGA-PBE",
  "state": "optimized geometry",
  "m_tot_mub_per_fu": 0.00,
  "e_tot_ev_per_atom": -8.02,
  "volume_a3_per_atom": 15.601,
  "cell": [[1.594, 0.920, 7.089], [-1.594, 0.920, 7.089], [0.000, -1.841, 7.089]],
  "species": ["Nb", "Nb", "Al", "B"],
  "fractional_positions": [[0.227, 0.227, 0.227], [0.773, 0.773, 0.773], [0.000, 0.000, 0.000], [0.500, 0.500, 0.500]]
}